First-principles (PBE with a Hubbard U) data for an optimized crystal structure of MgNiO, as listed in Alexandria via LeMat-Bulk.

a = 2.969 Å, b = 5.544 Å, c = 5.715 Å
α = 58.98°, β = 90.03°, γ = 89.94°
Fractional positions:
Ni 0.050 0.227 0.645
Ni 0.048 0.266 0.128
Mg 0.547 0.685 0.171
Mg 0.547 0.683 0.666
O 0.047 0.673 0.424
O 0.551 0.953 0.783

Calculated values
V ... 81 Å³ per cell
D(E_F) ... 0.82 states/eV per cell
VASP energy ... -3.955 eV per atom